1.
The following is a GGA+U calculation of a geometry-optimized CdFeO2 structure, from Alexandria.

Cell lengths 3.421, 6.879, 6.148 Å; angles 90.00, 123.79, 90.00 degrees
Space group Pc (No. 7)
Inequivalent atoms, fractional coordinates:
Cd1 0.000 0.136 0.000 (multiplicity 2)
Fe1 0.013 0.380 0.511 (multiplicity 2)
O1 0.740 0.397 0.739 (multiplicity 2)
O2 0.779 0.142 0.279 (multiplicity 2)

Values from the calculation:
DFT total energy: -5.250 eV per atom
magnetization: 8.0 μB per cell


2.
The following is a GGA+U calculation of a geometry-optimized CdFe2O4 structure, from Alexandria.

Cell lengths 8.833, 8.833, 8.833 Å; angles 90.00, 90.00, 90.00 degrees
Space group Fd-3m (No. 227, origin choice 2)
Inequivalent atoms, fractional coordinates:
Cd1 0.125 0.125 0.125 (multiplicity 8)
Fe1 0.000 0.000 0.500 (multiplicity 16)
O1 0.017 0.017 0.733 (multiplicity 32)

Values from the calculation:
magnetization: 80.0 μB per cell
energy above the most stable polymorph in this dataset: 0 meV per atom


3.
The following is a GGA+U calculation of a geometry-optimized Cd3FeO structure, from Alexandria.

Cell lengths 5.133, 5.133, 5.133 Å; angles 90.00, 90.00, 90.00 degrees
Space group Pm-3m (No. 221)
Inequivalent atoms, fractional coordinates:
Cd1 0.000 0.000 0.500 (multiplicity 3)
Fe1 0.000 0.000 0.000 (multiplicity 1)
O1 0.500 0.500 0.500 (multiplicity 1)

Values from the calculation:
magnetization: 4.2 μB per cell
energy above the most stable polymorph in this dataset: 421 meV per atom


4.
The following is a GGA+U calculation of a geometry-optimized CdFe2O3 structure, from Alexandria.

Cell lengths 3.298, 3.298, 13.070 Å; angles 90.00, 90.00, 90.00 degrees
Space group I4/mmm (No. 139)
Inequivalent atoms, fractional coordinates:
Cd1 0.000 0.000 0.000 (multiplicity 2)
Fe1 0.000 0.000 0.331 (multiplicity 4)
O1 0.000 0.000 0.174 (multiplicity 4)
O2 0.000 0.000 0.500 (multiplicity 2)

Values from the calculation:
DFT total energy: -5.694 eV per atom
magnetization: 15.9 μB per cell


5.
The following is a GGA+U calculation of a geometry-optimized Cd3FeO structure, from Alexandria.

Cell lengths 4.624, 4.624, 4.624 Å; angles 90.00, 90.00, 90.00 degrees
Space group Pm-3m (No. 221)
Inequivalent atoms, fractional coordinates:
Cd1 0.000 0.000 0.500 (multiplicity 3)
Fe1 0.500 0.500 0.500 (multiplicity 1)
O1 0.000 0.000 0.000 (multiplicity 1)

Values from the calculation:
magnetization: 2.6 μB per cell
energy above the most stable polymorph in this dataset: 0 meV per atom


6.
The following is a GGA+U calculation of a geometry-optimized CdFeO2 structure, from Alexandria.

Cell lengths 4.845, 4.845, 10.235 Å; angles 90.00, 90.00, 90.00 degrees
Space group I-42d (No. 122)
Inequivalent atoms, fractional coordinates:
Cd1 0.000 0.000 0.000 (multiplicity 4)
Fe1 0.000 0.000 0.500 (multiplicity 4)
O1 0.216 0.250 0.625 (multiplicity 8)

Values from the calculation:
DFT total energy: -5.265 eV per atom
magnetization: 16.0 μB per cell


7.
The following is a GGA+U calculation of a geometry-optimized Cd2FeOsO6 structure, from Alexandria.

Cell lengths 5.447, 5.524, 9.505 Å; angles 90.00, 124.90, 90.00 degrees
Space group P2_1/c (No. 14)
Inequivalent atoms, fractional coordinates:
Cd1 0.241 0.041 0.249 (multiplicity 4)
Fe1 0.000 0.000 0.500 (multiplicity 2)
Os1 0.500 0.000 0.000 (multiplicity 2)
O1 0.153 0.197 0.950 (multiplicity 4)
O2 0.253 0.705 0.947 (multiplicity 4)
O3 0.352 0.036 0.754 (multiplicity 4)

Values from the calculation:
DFT total energy: -5.915 eV per atom
magnetization: 15.4 μB per cell


8.
The following is a GGA+U calculation of a geometry-optimized CdFePO2 structure, from Alexandria.

Cell lengths 4.089, 4.089, 5.154 Å; angles 90.00, 90.00, 90.00 degrees
Space group P4/mmm (No. 123)
Inequivalent atoms, fractional coordinates:
Cd1 0.000 0.000 0.000 (multiplicity 1)
Fe1 0.500 0.500 0.500 (multiplicity 1)
P1 0.000 0.000 0.500 (multiplicity 1)
O1 0.000 0.500 0.000 (multiplicity 2)

Values from the calculation:
magnetization: 4.9 μB per cell
energy above the most stable polymorph in this dataset: 863 meV per atom